[1]
In2HPtBr GGA-PBE optimized geometry; DFT total energy = -3.667 eV per atom; density of states at the Fermi level = 1.5 states/eV/cell; total magnetic moment = 0.0 μB per formula unit
1.0
-3.341 -3.504 2.329
4.022 -3.534 0.454
0.852 1.397 3.324
H Br Pt In
1 1 1 2
Cartesian
0.426 0.698 1.662 H
0.766 -2.821 3.053 Br
0.000 0.000 0.000 Pt
2.011 -1.767 0.227 In
-1.671 -1.752 1.164 In


[2]
RbInHBr2 GGA-PBE optimized geometry; DFT total energy = -2.926 eV per atom; density of states at the Fermi level = 1.3 states/eV/cell; total magnetic moment = 0.0 μB per formula unit
1.0
-4.694 -1.026 -3.603
3.737 -1.683 -4.389
-0.175 -3.825 1.318
H Br Rb In
1 2 1 1
Cartesian
-0.088 -1.912 0.659 H
1.868 -0.842 -2.195 Br
-2.347 -0.513 -1.801 Br
-0.566 -3.267 -3.337 Rb
0.000 0.000 0.000 In


[3]
Rb2InHBr6 GGA-PBE optimized geometry; DFT total energy = -2.656 eV per atom; density of states at the Fermi level = 0.3 states/eV/cell; total magnetic moment = 0.0 μB per formula unit
1.0
-4.245 -0.983 5.826
0.544 -7.208 -0.820
2.911 -4.130 5.967
H Br Rb In
1 6 2 1
Cartesian
-1.851 -4.096 2.503 H
0.760 -4.115 4.402 Br
-1.551 -8.207 6.570 Br
-0.993 -2.198 1.343 Br
-2.708 -5.993 3.662 Br
-2.960 -2.654 4.042 Br
-0.741 -5.538 0.963 Br
-1.593 -4.605 7.147 Rb
0.802 -7.717 3.825 Rb
0.000 0.000 0.000 In


[4]
InHRhBr2 GGA-PBE optimized geometry; DFT total energy = -3.042 eV per atom; density of states at the Fermi level = 2.5 states/eV/cell; total magnetic moment = 1.0 μB per formula unit
1.0
-2.023 1.499 4.509
-1.945 -4.779 0.716
4.343 -1.406 2.415
H Rh Br In
1 1 2 1
Cartesian
0.187 -2.343 3.820 H
0.000 0.000 0.000 Rh
2.171 -0.703 1.208 Br
-1.011 0.750 2.254 Br
-0.973 -2.390 0.358 In


[5]
In2HRhBr GGA-PBE optimized geometry; DFT total energy = -3.782 eV per atom; density of states at the Fermi level = 2.7 states/eV/cell; total magnetic moment = 0.0 μB per formula unit
1.0
5.377 0.000 0.000
0.000 5.377 0.000
0.000 0.000 3.572
H Rh Br In
1 1 1 2
Cartesian
0.000 0.000 1.786 H
0.000 0.000 0.000 Rh
2.688 2.688 1.786 Br
0.000 2.688 0.000 In
2.688 0.000 0.000 In


[6]
InSnHBr2 GGA-PBE optimized geometry; DFT total energy = -2.977 eV per atom; density of states at the Fermi level = 1.4 states/eV/cell; total magnetic moment = 0.0 μB per formula unit
1.0
5.799 0.000 0.000
0.000 5.799 0.000
0.000 0.000 4.275
H Sn Br In
1 1 2 1
Cartesian
0.000 0.000 2.138 H
0.000 0.000 0.000 Sn
0.000 2.900 0.000 Br
2.900 0.000 0.000 Br
2.900 2.900 2.138 In